Here is a relaxed MnCoPb2 crystal from Alexandria via LeMat-Bulk. Energies are from PBE-GGA.

## Properties
The formation energy comes out at 595 meV per atom. The value obtained for the density of states at the Fermi level is 4.19 states/eV/f.u. The excess energy over the best structure of this formula in the dataset comes out at 0.332 eV per atom.

a b c (Å): 4.6382 3.4006 5.6836
angles (deg): 90.00 113.36 90.00
Sites, in units of the cell vectors:
Mn 0.0000 0.0000 0.0000
Co 0.0000 0.5000 0.5000
Pb 0.5000 0.0000 0.5000
Pb 0.5000 0.5000 0.0000



Here is a relaxed Pm2LuPu crystal from Alexandria via LeMat-Bulk. Energies are from PBE-GGA.

## Properties
The formation energy comes out at 205 meV per atom. The value obtained for the density of states at the Fermi level is 12.98 states/eV/f.u. The excess energy over the best structure of this formula in the dataset comes out at 0.095 eV per atom.

a b c (Å): 5.6322 5.6322 5.6322
angles (deg): 60.00 60.00 60.00
Sites, in units of the cell vectors:
Pm 0.2500 0.2500 0.2500
Pm 0.7500 0.7500 0.7500
Lu 0.0000 0.0000 0.0000
Pu 0.5000 0.5000 0.5000



Here is a relaxed CsCdAgSb2 crystal from Alexandria via LeMat-Bulk. Energies are from PBE-GGA.

## Properties
The value obtained for the density of states at the Fermi level is 1.32 states/eV/f.u. The calculation puts the energy relative to the elements, uncorrected at -0.209 eV per atom.

a b c (Å): 6.8777 6.8777 6.8777
angles (deg): 135.46 135.46 64.82
Sites, in units of the cell vectors:
Cs 0.0000 0.0000 0.0000
Cd 0.2500 0.7500 0.5000
Ag 0.7500 0.2500 0.5000
Sb 0.3730 0.3730 0.0000
Sb 0.6270 0.6270 0.0000